VASP calculation (GGA+U) on a geometry-optimized Co2AuO structure.

Fermi-level density of states	4.7	states/eV per cell
crystal system	tetragonal
E	-74.23	eV/cell

Cell lengths 5.1091, 5.1091, 10.3391 Å; angles 90.00, 90.00, 90.00 degrees
Space group I-42d (No. 122)
Inequivalent atoms, fractional coordinates:
Co 0.1167 0.2500 0.1250 [8 per cell]
Au 0.0000 0.0000 0.5000 [4 per cell]
O 0.0000 0.0000 0.0000 [4 per cell]